VASP calculation (PBE-GGA) on crystalline Cu2IrRh at its relaxed geometry.

Unit cell a=8.6810 b=2.6829 c=4.6694 alpha=90.00 beta=100.20 gamma=90.00
Space group C2/m (No. 12)
Symmetry-distinct sites (fractional):
Cu (0.2492, 0.0000, 0.2489) (multiplicity 4)
Ir (0.0000, 0.5000, 0.0000) (multiplicity 2)
Rh (0.0000, 0.0000, 0.5000) (multiplicity 2)

**DFT total energy**: -24.1 eV per formula unit
**Polymorph energy (0 for the lowest one)**: 26 meV/atom
**Crystal system**: monoclinic
**Magnetic moment**: 0.00 μB/atom

***

VASP calculation (PBE-GGA) on crystalline CuIr4Rh at its relaxed geometry.

Unit cell a=7.2481 b=7.2481 c=7.2481 alpha=90.00 beta=90.00 gamma=90.00
Space group F-43m (No. 216)
Symmetry-distinct sites (fractional):
Cu (0.0000, 0.0000, 0.0000) (multiplicity 4)
Ir (0.1250, 0.1250, 0.6250) (multiplicity 16)
Rh (0.2500, 0.2500, 0.2500) (multiplicity 4)

**DFT total energy**: -43.1 eV per formula unit
**Crystal system**: cubic
**Magnetic moment**: 0.11 μB/atom

***

VASP calculation (PBE-GGA) on crystalline CuIrRh2 at its relaxed geometry.

Unit cell a=2.7291 b=2.7291 c=7.4316 alpha=90.00 beta=90.00 gamma=90.00
Space group P4mm (No. 99)
Symmetry-distinct sites (fractional):
Cu (0.0000, 0.0000, 0.0000) (multiplicity 1)
Ir (0.5000, 0.5000, 0.2469) (multiplicity 1)
Rh (0.0000, 0.0000, 0.4983) (multiplicity 1)
Rh (0.5000, 0.5000, 0.7541) (multiplicity 1)

**DFT total energy**: -27.4 eV per formula unit
**Polymorph energy (0 for the lowest one)**: 49 meV/atom
**Crystal system**: tetragonal
**Magnetic moment**: 0.00 μB/atom

***

VASP calculation (PBE-GGA) on crystalline CuIrRh2 at its relaxed geometry.

Unit cell a=6.0804 b=6.0804 c=6.0804 alpha=90.00 beta=90.00 gamma=90.00
Space group F-43m (No. 216)
Symmetry-distinct sites (fractional):
Cu (0.0000, 0.0000, 0.0000) (multiplicity 4)
Ir (0.2500, 0.2500, 0.2500) (multiplicity 4)
Rh (0.0000, 0.0000, 0.5000) (multiplicity 4)
Rh (0.2500, 0.2500, 0.7500) (multiplicity 4)

**DFT total energy**: -26.6 eV per formula unit
**Polymorph energy (0 for the lowest one)**: 254 meV/atom
**Crystal system**: cubic
**Magnetic moment**: 0.00 μB/atom

***

VASP calculation (PBE-GGA) on crystalline CuIrRh2 at its relaxed geometry.

Unit cell a=3.8331 b=3.8331 c=3.7851 alpha=90.00 beta=90.00 gamma=90.00
Space group P4/mmm (No. 123)
Symmetry-distinct sites (fractional):
Cu (0.0000, 0.0000, 0.0000) (multiplicity 1)
Ir (0.5000, 0.5000, 0.0000) (multiplicity 1)
Rh (0.0000, 0.5000, 0.5000) (multiplicity 2)

**DFT total energy**: -27.1 eV per formula unit
**Polymorph energy (0 for the lowest one)**: 111 meV/atom
**Crystal system**: tetragonal
**Magnetic moment**: 0.00 μB/atom

***

VASP calculation (PBE-GGA) on crystalline CuIr2Rh at its relaxed geometry.

Unit cell a=2.7238 b=3.7899 c=5.3949 alpha=90.00 beta=90.00 gamma=90.00
Space group Pmmm (No. 47)
Symmetry-distinct sites (fractional):
Cu (0.0000, 0.0000, 0.0000) (multiplicity 1)
Ir (0.5000, 0.5000, 0.2459) (multiplicity 2)
Rh (0.0000, 0.0000, 0.5000) (multiplicity 1)

**DFT total energy**: -28.8 eV per formula unit
**Polymorph energy (0 for the lowest one)**: 59 meV/atom
**Crystal system**: orthorhombic
**Magnetic moment**: 0.00 μB/atom